# SmCdB (PBE, optimized geometry)
data_SmCdB
_chemical_formula_sum 'Sm4 Cd4 B4'
_symmetry_space_group_name_H-M 'C 1 2/m 1'
_symmetry_Int_Tables_number 12
_cell_length_a 9.3922
_cell_length_b 3.9054
_cell_length_c 7.0506
_cell_angle_alpha 90.00
_cell_angle_beta 101.41
_cell_angle_gamma 90.00
loop_
_symmetry_equiv_pos_as_xyz
'x,y,z'
'-x,-y,-z'
'-x,y,-z'
'x,-y,z'
'x+1/2,y+1/2,z'
'-x+1/2,-y+1/2,-z'
'-x+1/2,y+1/2,-z'
'x+1/2,-y+1/2,z'
loop_
_atom_site_label
_atom_site_fract_x
_atom_site_fract_y
_atom_site_fract_z
_atom_site_occupancy
Sm1 0.1194 0.0000 0.3247 1
Cd1 0.1341 0.5000 0.9217 1
B1 0.0780 0.5000 0.5673 1
# DOS at the Fermi energy: 6.3 states/eV per cell
# Raw total energy: -51.1 eV/cell
# Energy of formation: -156 meV/atom
# Theoretical density: 7.168 g cm⁻³



# KBe4Zn (PBE, optimized geometry)
data_KBe4Zn
_chemical_formula_sum 'K4 Be16 Zn4'
_symmetry_space_group_name_H-M 'F -4 3 m'
_symmetry_Int_Tables_number 216
_symmetry_space_group_name_Hall 'F -4 2 3'
_cell_length_a 6.8736
_cell_length_b 6.8736
_cell_length_c 6.8736
_cell_angle_alpha 90.00
_cell_angle_beta 90.00
_cell_angle_gamma 90.00
loop_
_atom_site_label
_atom_site_fract_x
_atom_site_fract_y
_atom_site_fract_z
_atom_site_occupancy
K1 0.0000 0.0000 0.0000 1
Be1 0.1177 0.1177 0.3823 1
Zn1 0.2500 0.2500 0.7500 1
# DOS at the Fermi energy: 10.5 states/eV per cell
# Raw total energy: -52.3 eV/cell
# Energy of formation: 699 meV/atom
# Theoretical density: 2.875 g cm⁻³



# Ba2AgGeRh (PBE, optimized geometry)
data_Ba2AgGeRh
_chemical_formula_sum 'Ba4 Ag2 Ge2 Rh2'
_symmetry_space_group_name_H-M 'P 4/n m m'
_symmetry_Int_Tables_number 129
_cell_length_a 4.4146
_cell_length_b 4.4146
_cell_length_c 17.0278
_cell_angle_alpha 90.00
_cell_angle_beta 90.00
_cell_angle_gamma 90.00
loop_
_symmetry_equiv_pos_as_xyz
'x,y,z'
'-x,-y,-z'
'-y+1/2,x,z'
'y+1/2,-x,-z'
'-x+1/2,-y+1/2,z'
'x+1/2,y+1/2,-z'
'y,-x+1/2,z'
'-y,x+1/2,-z'
'x+1/2,-y,-z'
'-x+1/2,y,z'
'-y,-x,-z'
'y,x,z'
'-x,y+1/2,-z'
'x,-y+1/2,z'
'y+1/2,x+1/2,-z'
'-y+1/2,-x+1/2,z'
loop_
_atom_site_label
_atom_site_fract_x
_atom_site_fract_y
_atom_site_fract_z
_atom_site_occupancy
Ba1 0.2500 0.2500 0.0881 1
Ba2 0.2500 0.2500 0.6616 1
Ag1 0.2500 0.2500 0.8640 1
Ge1 0.2500 0.2500 0.4283 1
Rh1 0.2500 0.7500 0.5000 1
# DOS at the Fermi energy: 8.6 states/eV per cell
# Raw total energy: -41.5 eV/cell
# Energy above the most stable polymorph in this dataset: 0.0 meV per atom
# Energy of formation: -418 meV/atom
# Theoretical density: 5.585 g cm⁻³



# ErPaPbAu (PBE, optimized geometry)
data_ErPaPbAu
_chemical_formula_sum 'Er4 Pa4 Pb4 Au4'
_symmetry_space_group_name_H-M 'F -4 3 m'
_symmetry_Int_Tables_number 216
_symmetry_space_group_name_Hall 'F -4 2 3'
_cell_length_a 7.4519
_cell_length_b 7.4519
_cell_length_c 7.4519
_cell_angle_alpha 90.00
_cell_angle_beta 90.00
_cell_angle_gamma 90.00
loop_
_atom_site_label
_atom_site_fract_x
_atom_site_fract_y
_atom_site_fract_z
_atom_site_occupancy
Er1 0.0000 0.0000 0.0000 1
Pa1 0.0000 0.0000 0.5000 1
Pb1 0.2500 0.2500 0.2500 1
Au1 0.2500 0.2500 0.7500 1
# DOS at the Fermi energy: 35.8 states/eV per cell
# Raw total energy: -87.3 eV/cell
# Energy of formation: -196 meV/atom
# Theoretical density: 12.880 g cm⁻³